First-principles (PBE) data for an optimized crystal structure of MnInSn2Cl8, as listed in Alexandria via LeMat-Bulk.

Cell lengths 6.6069, 6.4301, 8.1888 Å; angles 89.94, 89.78, 89.27 degrees
With the nearest neighbours (Å) after each atom.
Fractional positions:
Cl 0.1718 0.7977 0.2295  1 Mn 2.55, 1 In 2.80
Cl 0.2966 0.2543 0.9942  1 Mn 2.57, 1 Sn 2.79
Cl 0.7034 0.7457 0.0058  1 Mn 2.57, 1 Sn 2.79
Cl 0.1640 0.7897 0.7695  1 Mn 2.55, 1 In 2.80
Cl 0.3157 0.2764 0.5059  1 In 2.76, 2 Sn 2.78-2.91
Cl 0.8360 0.2103 0.2305  1 Mn 2.55, 1 In 2.80
Cl 0.6843 0.7236 0.4941  1 In 2.76, 2 Sn 2.78-2.91
Cl 0.8282 0.2023 0.7705  1 Mn 2.55, 1 In 2.80
In 0.0000 0.0000 0.5000  6 Cl 2.76-2.80
Sn 0.4940 0.4945 0.7594  6 Cl 2.78-2.95
Sn 0.5060 0.5055 0.2406  6 Cl 2.78-2.95
Mn 0.0000 0.0000 0.0000  6 Cl 2.55-2.57

Computed properties:
Total DFT energy (no corrections): -0.141 Ha/atom
Density of states at the Fermi level: 3.191 states/eV per cell
Crystal system: triclinic
ρ: 3.3 g cm⁻³
ΔE_f (raw): -92.22 kJ per mole of atoms
V: 348 Å³/f.u.

=====

First-principles (PBE) data for an optimized crystal structure of TaMn2Mo, as listed in Alexandria via LeMat-Bulk.

Cell lengths 4.0879, 2.7266, 5.2063 Å; angles 78.95, 90.00, 90.00 degrees
With the nearest neighbours (Å) after each atom.
Fractional positions:
Mo 0.5000 0.2500 0.2500  4 Mn 2.55, 2 Ta 2.70, 2 Mo 2.73
Mn 0.0000 0.4925 0.4919  2 Mo 2.55, 2 Ta 2.61, 4 Mn 2.64-2.76
Mn 0.0000 0.0075 0.0081  2 Mo 2.55, 2 Ta 2.61, 4 Mn 2.64-2.76
Ta 0.5000 0.7500 0.7500  4 Mn 2.61, 2 Mo 2.70, 2 Ta 2.73

Computed properties:
Total DFT energy (no corrections): -0.374 Ha/atom
Density of states at the Fermi level: 4.046 states/eV per cell
Crystal system: monoclinic
ρ: 11.3 g cm⁻³
Energy relative to the elements: 85 meV/atom
V: 57 Å³/f.u.

=====

First-principles (PBE) data for an optimized crystal structure of BeTeOs2, as listed in Alexandria via LeMat-Bulk.

Cell lengths 5.6366, 5.6366, 5.6366 Å; angles 148.25, 139.87, 52.05 degrees
With the nearest neighbours (Å) after each atom.
Fractional positions:
Os 0.0525 0.0525 0.0000  2 Be 2.32
Os 0.7700 0.2700 0.5000  4 Be 2.52, 2 Te 2.69
Be 0.2236 0.7236 0.5000  6 Os 2.32-2.52
Te 0.4540 0.4540 0.0000  6 Os 2.67-2.69, 2 Be 2.80

Computed properties:
Total DFT energy (no corrections): -0.245 Ha/atom
Density of states at the Fermi level: 3.286 states/eV per cell
Crystal system: orthorhombic
ρ: 14.2 g cm⁻³
ΔE_f (raw): 63.40 kJ per mole of atoms
V: 60 Å³/f.u.

=====

First-principles (PBE) data for an optimized crystal structure of MnV4Cr2, as listed in Alexandria via LeMat-Bulk.

Cell lengths 4.2397, 4.2397, 6.7263 Å; angles 71.63, 71.63, 90.00 degrees
With the nearest neighbours (Å) after each atom.
Fractional positions:
Cr 0.6243 0.6243 0.7515  1 V 2.24
Cr 0.3757 0.3757 0.2485  1 V 2.24
V 0.8100 0.8100 0.3800  1 Cr 2.24, 1 Mn 2.29
V 0.5000 0.0000 0.0000  2 Mn 2.12
V 0.0000 0.5000 0.0000  2 Mn 2.12
V 0.1900 0.1900 0.6200  1 Cr 2.24, 1 Mn 2.29
Mn 0.0000 0.0000 0.0000  6 V 2.12-2.29

Computed properties:
Total DFT energy (no corrections): -0.308 Ha/atom
Density of states at the Fermi level: 8.764 states/eV per cell
Crystal system: tetragonal
ρ: 5.6 g cm⁻³
Energy relative to the elements: 896 meV/atom
V: 108 Å³/f.u.

=====

First-principles (PBE) data for an optimized crystal structure of Tl2Pb3, as listed in Alexandria via LeMat-Bulk.

Cell lengths 14.5178, 12.2449, 8.1536 Å; angles 88.38, 57.47, 34.15 degrees
With the nearest neighbours (Å) after each atom.
Fractional positions:
Tl 0.8875 0.6956 0.9688  6 Pb 3.29-3.48, 4 Tl 3.36-3.49
Tl 0.5544 0.3625 0.8019  6 Pb 3.29-3.48, 4 Tl 3.36-3.49
Tl 0.2812 0.8019 0.3625  6 Pb 3.29-3.48, 4 Tl 3.36-3.49
Tl 0.4481 0.9688 0.6956  6 Pb 3.29-3.48, 4 Tl 3.36-3.49
Pb 0.1547 0.3453 0.3453  4 Pb 3.36-3.41, 4 Tl 3.43-3.48
Pb 0.9265 0.3799 0.8603  4 Tl 3.29-3.48, 3 Pb 3.36-3.41
Pb 0.8701 0.3235 0.4168  4 Tl 3.29-3.48, 3 Pb 3.36-3.41
Pb 0.8332 0.8603 0.3799  4 Tl 3.29-3.48, 3 Pb 3.36-3.41
Pb 0.3897 0.4168 0.3235  4 Tl 3.29-3.48, 3 Pb 3.36-3.41
Pb 0.9047 0.0953 0.0953  4 Pb 3.36-3.41, 4 Tl 3.43-3.48

Computed properties:
Total DFT energy (no corrections): -0.113 Ha/atom
Density of states at the Fermi level: 5.129 states/eV per cell
Crystal system: orthorhombic
ρ: 10.5 g cm⁻³
Energy relative to the elements: 87 meV/atom
V: 163 Å³/f.u.

=====

First-principles (PBE) data for an optimized crystal structure of TiGe2W, as listed in Alexandria via LeMat-Bulk.

Cell lengths 4.4587, 4.4587, 4.4587 Å; angles 60.00, 60.00, 60.00 degrees
With the nearest neighbours (Å) after each atom.
Fractional positions:
Ge 0.2500 0.2500 0.2500  4 W 2.73, 4 Ti 2.73
Ge 0.7500 0.7500 0.7500  4 W 2.73, 4 Ti 2.73
W 0.5000 0.5000 0.5000  8 Ge 2.73
Ti 0.0000 0.0000 0.0000  8 Ge 2.73

Computed properties:
Total DFT energy (no corrections): -0.276 Ha/atom
Density of states at the Fermi level: 2.914 states/eV per cell
Crystal system: cubic
ρ: 10.0 g cm⁻³
Energy relative to the elements: 2 meV/atom
V: 63 Å³/f.u.

=====

First-principles (PBE) data for an optimized crystal structure of KZr2Re, as listed in Alexandria via LeMat-Bulk.

Cell lengths 5.1002, 5.1002, 7.7811 Å; angles 88.70, 88.70, 32.20 degrees
With the nearest neighbours (Å) after each atom.
Fractional positions:
Zr 0.0035 0.0035 0.0291  3 Re 2.68-2.96, 2 Zr 2.83
Zr 0.7408 0.7408 0.8351  5 Zr 2.83-3.09, 2 Re 2.88
Re 0.2556 0.2556 0.1567  5 Zr 2.68-2.96, 2 Re 2.83
K 0.5001 0.5001 0.4791  2 K 2.83

Computed properties:
Total DFT energy (no corrections): -0.252 Ha/atom
Density of states at the Fermi level: 5.363 states/eV per cell
Crystal system: monoclinic
ρ: 6.3 g cm⁻³
Energy relative to the elements: 798 meV/atom
V: 108 Å³/f.u.

=====

First-principles (PBE) data for an optimized crystal structure of MnGa2Hg, as listed in Alexandria via LeMat-Bulk.

Cell lengths 7.3173, 7.3173, 5.8464 Å; angles 51.26, 51.26, 90.00 degrees
With the nearest neighbours (Å) after each atom.
Fractional positions:
Mn 0.2500 0.7500 0.5000  4 Ga 2.42
Mn 0.5000 0.5000 0.0000  4 Ga 2.42
Hg 0.0000 0.0000 0.0000  2 Mn 2.72, 4 Ga 2.96
Hg 0.7500 0.2500 0.5000  2 Mn 2.72, 4 Ga 2.96
Ga 0.3750 0.4299 0.7500  2 Mn 2.42
Ga 0.1799 0.6250 0.2500  2 Mn 2.42
Ga 0.8750 0.8201 0.7500  2 Mn 2.42
Ga 0.5701 0.1250 0.2500  2 Mn 2.42

Computed properties:
Total DFT energy (no corrections): -0.123 Ha/atom
Density of states at the Fermi level: 13.937 states/eV per cell
Crystal system: tetragonal
ρ: 9.0 g cm⁻³
Energy relative to the elements: 532 meV/atom
V: 73 Å³/f.u.